The following is a DFT calculation (PBEsol) of an optimized crystal structure of ScBeTcW2.

Output
ΔE_f = 2.563 eV per atom
Density of states at the Fermi level = 5.5 states/eV/f.u.
VASP energy = -7.335 eV/atom

Unit cell a=4.5480 b=4.5480 c=4.4268 alpha=90.00 beta=90.00 gamma=90.00
Space group P4/mmm (No. 123)
Symmetry-distinct sites (fractional):
Sc 0.0000 0.0000 0.0000 (multiplicity 1)
Be 0.5000 0.5000 0.5000 (multiplicity 1)
Tc 0.0000 0.0000 0.5000 (multiplicity 1)
W 0.0000 0.5000 0.0000 (multiplicity 2)


The following is a DFT calculation (PBEsol) of an optimized crystal structure of ScBeTe2.

Output
Density of states at the Fermi level = 1.5 states/eV/f.u.
VASP energy = -4.894 eV/atom
Uncorrected formation energy = -0.48 eV/atom

Unit cell a=3.6795 b=3.7656 c=14.0171 alpha=90.00 beta=90.00 gamma=90.00
Space group Imm2 (No. 44)
Symmetry-distinct sites (fractional):
Sc 0.0000 0.0000 0.0000 (multiplicity 2)
Be 0.0000 0.5000 0.1509 (multiplicity 2)
Te 0.0000 0.0000 0.4163 (multiplicity 2)
Te 0.0000 0.5000 0.6666 (multiplicity 2)


The following is a DFT calculation (PBEsol) of an optimized crystal structure of ScBe3Te.

Output
Density of states at the Fermi level = 3.1 states/eV/f.u.
VASP energy = -3.291 eV/atom
Uncorrected formation energy = 1.14 eV/atom

Unit cell a=4.6034 b=4.6034 c=4.6034 alpha=90.00 beta=90.00 gamma=90.00
Space group Pm-3m (No. 221)
Symmetry-distinct sites (fractional):
Sc 0.0000 0.0000 0.0000 (multiplicity 1)
Be 0.0000 0.5000 0.5000 (multiplicity 3)
Te 0.5000 0.5000 0.5000 (multiplicity 1)


The following is a DFT calculation (PBEsol) of an optimized crystal structure of ScBeTe2.

Output
Density of states at the Fermi level = 1.7 states/eV/f.u.
VASP energy = -4.897 eV/atom
Uncorrected formation energy = -0.48 eV/atom

Unit cell a=3.9275 b=3.9275 c=5.8756 alpha=90.00 beta=90.00 gamma=90.00
Space group P4mm (No. 99)
Symmetry-distinct sites (fractional):
Sc 0.0000 0.0000 0.0000 (multiplicity 1)
Be 0.5000 0.5000 0.6213 (multiplicity 1)
Te 0.0000 0.0000 0.5161 (multiplicity 1)
Te 0.5000 0.5000 0.0465 (multiplicity 1)


The following is a DFT calculation (PBEsol) of an optimized crystal structure of ScBeTe2.

Output
Density of states at the Fermi level = 3.6 states/eV/f.u.
VASP energy = -4.868 eV/atom
Uncorrected formation energy = -0.45 eV/atom

Unit cell a=6.4031 b=6.4031 c=10.5360 alpha=90.00 beta=90.00 gamma=90.00
Space group I-42d (No. 122)
Symmetry-distinct sites (fractional):
Sc 0.0000 0.0000 0.0000 (multiplicity 4)
Be 0.0000 0.0000 0.5000 (multiplicity 4)
Te 0.1948 0.2500 0.6250 (multiplicity 8)


The following is a DFT calculation (PBEsol) of an optimized crystal structure of ScTiBe2.

Output
ΔE_f = -0.030 eV per atom
Density of states at the Fermi level = 3.1 states/eV/f.u.
VASP energy = -5.762 eV/atom

Unit cell a=6.0467 b=6.0467 c=6.0467 alpha=90.00 beta=90.00 gamma=90.00
Space group Fm-3m (No. 225)
Symmetry-distinct sites (fractional):
Sc 0.0000 0.0000 0.0000 (multiplicity 4)
Ti 0.0000 0.0000 0.5000 (multiplicity 4)
Be 0.2500 0.2500 0.2500 (multiplicity 8)


The following is a DFT calculation (PBEsol) of an optimized crystal structure of ScTiBe3.

Output
ΔE_f = 0.989 eV per atom
Density of states at the Fermi level = 3.8 states/eV/f.u.
VASP energy = -4.397 eV/atom

Unit cell a=4.3108 b=4.3108 c=4.3108 alpha=90.00 beta=90.00 gamma=90.00
Space group Pm-3m (No. 221)
Symmetry-distinct sites (fractional):
Sc 0.0000 0.0000 0.0000 (multiplicity 1)
Ti 0.5000 0.5000 0.5000 (multiplicity 1)
Be 0.0000 0.5000 0.5000 (multiplicity 3)


The following is a DFT calculation (PBEsol) of an optimized crystal structure of ScBe2Tl.

Output
ΔE_f = 0.082 eV per atom
E above lowest polymorph = 0 meV/atom
Density of states at the Fermi level = 1.8 states/eV/f.u.
VASP energy = -4.226 eV/atom

Unit cell a=3.7408 b=3.7717 c=8.7929 alpha=90.00 beta=90.00 gamma=90.00
Space group Amm2 (No. 38)
Symmetry-distinct sites (fractional):
Sc 0.0000 0.0000 0.0000 (multiplicity 2)
Be 0.0000 0.0000 0.6986 (multiplicity 2)
Be 0.5000 0.0000 0.5846 (multiplicity 2)
Tl 0.5000 0.0000 0.2892 (multiplicity 2)


The following is a DFT calculation (PBEsol) of an optimized crystal structure of ScBe2Tl.

Output
ΔE_f = 0.149 eV per atom
E above lowest polymorph = 67 meV/atom
Density of states at the Fermi level = 1.8 states/eV/f.u.
VASP energy = -4.160 eV/atom

Unit cell a=4.1397 b=4.1397 c=3.6404 alpha=90.00 beta=90.00 gamma=90.00
Space group P4/mmm (No. 123)
Symmetry-distinct sites (fractional):
Sc 0.0000 0.0000 0.0000 (multiplicity 1)
Be 0.0000 0.5000 0.5000 (multiplicity 2)
Tl 0.5000 0.5000 0.0000 (multiplicity 1)


The following is a DFT calculation (PBEsol) of an optimized crystal structure of ScBeTl2.

Output
ΔE_f = 0.297 eV per atom
Density of states at the Fermi level = 3.1 states/eV/f.u.
VASP energy = -3.669 eV/atom

Unit cell a=6.1780 b=9.8427 c=3.2608 alpha=90.00 beta=119.88 gamma=90.00
Space group C2/m (No. 12)
Symmetry-distinct sites (fractional):
Sc 0.0000 0.0000 0.0000 (multiplicity 2)
Be 0.0000 0.5000 0.0000 (multiplicity 2)
Tl 0.2500 0.2500 0.5000 (multiplicity 4)


The following is a DFT calculation (PBEsol) of an optimized crystal structure of ScBeTl2.

Output
ΔE_f = 0.180 eV per atom
Density of states at the Fermi level = 2.3 states/eV/f.u.
VASP energy = -3.786 eV/atom

Unit cell a=3.3889 b=3.3889 c=6.8886 alpha=90.00 beta=90.00 gamma=90.00
Space group P4/mmm (No. 123)
Symmetry-distinct sites (fractional):
Sc 0.0000 0.0000 0.0000 (multiplicity 1)
Be 0.0000 0.0000 0.5000 (multiplicity 1)
Tl 0.5000 0.5000 0.2811 (multiplicity 2)


The following is a DFT calculation (PBEsol) of an optimized crystal structure of ZrScBe2Tl.

Output
ΔE_f = 1.254 eV per atom
Density of states at the Fermi level = 6.1 states/eV/f.u.
VASP energy = -4.011 eV/atom

Unit cell a=4.7248 b=4.7248 c=4.8336 alpha=90.00 beta=90.00 gamma=90.00
Space group P4/mmm (No. 123)
Symmetry-distinct sites (fractional):
Zr 0.0000 0.0000 0.0000 (multiplicity 1)
Sc 0.0000 0.0000 0.5000 (multiplicity 1)
Be 0.0000 0.5000 0.0000 (multiplicity 2)
Tl 0.5000 0.5000 0.5000 (multiplicity 1)


The following is a DFT calculation (PBEsol) of an optimized crystal structure of ScBeW2.

Output
ΔE_f = 0.286 eV per atom
Density of states at the Fermi level = 2.7 states/eV/f.u.
VASP energy = -9.269 eV/atom

Unit cell a=2.6985 b=2.6985 c=8.2732 alpha=90.00 beta=90.00 gamma=90.00
Space group P4mm (No. 99)
Symmetry-distinct sites (fractional):
Sc 0.0000 0.0000 0.0000 (multiplicity 1)
Be 0.5000 0.5000 0.7618 (multiplicity 1)
W 0.0000 0.0000 0.5605 (multiplicity 1)
W 0.5000 0.5000 0.2843 (multiplicity 1)


The following is a DFT calculation (PBEsol) of an optimized crystal structure of ScBe2W.

Output
ΔE_f = 0.049 eV per atom
E above lowest polymorph = 0 meV/atom
Density of states at the Fermi level = 1.9 states/eV/f.u.
VASP energy = -7.055 eV/atom

Unit cell a=2.8313 b=3.3895 c=5.5551 alpha=90.00 beta=90.00 gamma=90.00
Space group Pmmm (No. 47)
Symmetry-distinct sites (fractional):
Sc 0.0000 0.0000 0.0000 (multiplicity 1)
Be 0.5000 0.5000 0.2970 (multiplicity 2)
W 0.0000 0.0000 0.5000 (multiplicity 1)


The following is a DFT calculation (PBEsol) of an optimized crystal structure of ScBe2W.

Output
ΔE_f = 0.191 eV per atom
E above lowest polymorph = 143 meV/atom
Density of states at the Fermi level = 2.6 states/eV/f.u.
VASP energy = -6.912 eV/atom

Unit cell a=3.9580 b=3.9580 c=3.3446 alpha=90.00 beta=90.00 gamma=90.00
Space group P4/mmm (No. 123)
Symmetry-distinct sites (fractional):
Sc 0.0000 0.0000 0.0000 (multiplicity 1)
Be 0.0000 0.5000 0.5000 (multiplicity 2)
W 0.5000 0.5000 0.0000 (multiplicity 1)


The following is a DFT calculation (PBEsol) of an optimized crystal structure of ScBe2Zn.

Output
ΔE_f = 0.421 eV per atom
Density of states at the Fermi level = 2.1 states/eV/f.u.
VASP energy = -3.626 eV/atom

Unit cell a=2.6606 b=2.6606 c=25.9192 alpha=90.00 beta=90.00 gamma=120.00
Space group R-3m (No. 166, hexagonal axes)
Symmetry-distinct sites (fractional):
Sc 0.0000 0.0000 0.0000 (multiplicity 3)
Be 0.0000 0.0000 0.2424 (multiplicity 6)
Zn 0.0000 0.0000 0.5000 (multiplicity 3)


The following is a DFT calculation (PBEsol) of an optimized crystal structure of ScBe2Zn.

Output
ΔE_f = -0.002 eV per atom
Density of states at the Fermi level = 2.0 states/eV/f.u.
VASP energy = -4.049 eV/atom

Unit cell a=2.8004 b=2.8004 c=6.5188 alpha=90.00 beta=90.00 gamma=90.00
Space group P4mm (No. 99)
Symmetry-distinct sites (fractional):
Sc 0.0000 0.0000 0.0000 (multiplicity 1)
Be 0.0000 0.0000 0.5498 (multiplicity 1)
Be 0.5000 0.5000 0.7143 (multiplicity 1)
Zn 0.5000 0.5000 0.3229 (multiplicity 1)


The following is a DFT calculation (PBEsol) of an optimized crystal structure of Zr2ScBe.

Output
ΔE_f = -0.009 eV per atom
Density of states at the Fermi level = 4.0 states/eV/f.u.
VASP energy = -7.205 eV/atom

Unit cell a=3.1269 b=3.1269 c=7.7579 alpha=90.00 beta=90.00 gamma=90.00
Space group P4mm (No. 99)
Symmetry-distinct sites (fractional):
Zr 0.0000 0.0000 0.0000 (multiplicity 1)
Zr 0.5000 0.5000 0.2873 (multiplicity 1)
Sc 0.5000 0.5000 0.6980 (multiplicity 1)
Be 0.0000 0.0000 0.4927 (multiplicity 1)


The following is a DFT calculation (PBEsol) of an optimized crystal structure of Zr2ScBe.

Output
ΔE_f = 0.094 eV per atom
Density of states at the Fermi level = 4.4 states/eV/f.u.
VASP energy = -7.102 eV/atom

Unit cell a=4.1561 b=4.1561 c=8.6809 alpha=90.00 beta=90.00 gamma=90.00
Space group I4/mmm (No. 139)
Symmetry-distinct sites (fractional):
Zr 0.0000 0.5000 0.2500 (multiplicity 4)
Sc 0.0000 0.0000 0.0000 (multiplicity 2)
Be 0.0000 0.0000 0.5000 (multiplicity 2)


The following is a DFT calculation (PBEsol) of an optimized crystal structure of BeSe.

Output
E above lowest polymorph = 0 meV/atom
Density of states at the Fermi level = 0.0 states/eV/f.u.
VASP energy = -4.724 eV/atom
Uncorrected formation energy = -0.80 eV/atom

Unit cell a=5.1338 b=5.1338 c=5.1338 alpha=90.00 beta=90.00 gamma=90.00
Space group F-43m (No. 216)
Symmetry-distinct sites (fractional):
Be 0.0000 0.0000 0.0000 (multiplicity 4)
Se 0.2500 0.2500 0.7500 (multiplicity 4)